1.
Entry from the Alexandria database: a relaxed structure of LiLaSi2 (PBE).

```
LiLaSi2
1.0
-2.315 0.625 2.446
-1.843 -2.689 -1.052
3.354 -3.934 4.179
Li Si La
1 2 1
direct
0.500 0.500 0.750
0.000 0.000 0.567
0.000 0.000 0.933
0.500 0.500 0.250
```

Properties
**Energy relative to the elements, uncorrected**: -0.28 eV per atom
**Energy above the lowest structure with this stoichiometry**: 341 meV per atom
**M_tot**: 0.000 μB per cell

***

2.
Entry from the Alexandria database: a relaxed structure of KCdSn3 (PBE).

```
KCdSn3
1.0
-6.637 -2.051 1.277
0.085 -4.023 -6.026
2.101 -2.874 6.311
Sn Cd K
6 2 2
direct
0.250 0.802 0.198
0.250 0.802 0.604
0.750 0.198 0.396
0.750 0.604 0.802
0.750 0.198 0.802
0.250 0.396 0.198
0.000 0.000 0.000
0.500 0.000 0.000
0.750 0.666 0.334
0.250 0.334 0.666
```

Properties
**Energy above the lowest structure with this stoichiometry**: 154 meV per atom
**M_tot**: 0.000 μB per cell

***

3.
Entry from the Alexandria database: a relaxed structure of MgUOsRu (PBE).

```
MgUOsRu
1.0
-2.135 -3.434 2.237
-1.168 -3.857 -2.262
2.244 -3.949 0.853
Ru U Os Mg
1 1 1 1
direct
0.750 0.750 0.750
0.500 0.500 0.500
0.250 0.250 0.250
0.000 0.000 0.000
```

Properties
**Energy**: -33.74 eV per cell
**M_tot**: 0.920 μB per cell

***

4.
Entry from the Alexandria database: a relaxed structure of CdBiS2Br (PBE).

```
CdBiS2Br
1.0
6.928 0.004 -0.010
5.735 3.887 -0.010
0.271 0.083 9.662
Cd S Br Bi
2 4 2 2
direct
0.000 0.000 0.000
0.000 0.000 0.500
0.082 0.082 0.742
0.355 0.355 0.556
0.645 0.645 0.444
0.918 0.918 0.258
0.638 0.638 0.069
0.362 0.362 0.931
0.282 0.282 0.307
0.718 0.718 0.693
```

Properties
**Energy relative to the elements, uncorrected**: -0.56 eV per atom
**Energy above the lowest structure with this stoichiometry**: 0 meV per atom
**M_tot**: 0.000 μB per cell